No. 1
## Pr2Dy3Ho6Er (GGA-PBE)

Data for crystalline Pr2Dy3Ho6Er at its relaxed geometry.

Its space group is C2/m (12). Its formation energy is 1.8 kJ per mole of atoms.

Geometry as extended XYZ:
```
12
Lattice="6.1616 0.0012 0.0086 -3.0782 5.3376 0.0086 -1.0394 -1.7997 11.5943" Properties=species:S:1:pos:R:3 pbc="T T T"
Dy -2.0606 3.5499 5.8058
Ho 3.0691 1.7685 8.6754
Ho 2.0568 3.5614 2.9473
Dy 4.1046 -0.0108 5.8058
Ho -0.0020 3.5421 8.6754
Pr 3.0814 1.7802 0.0086
Er 0.0000 0.0000 0.0000
Ho -0.0128 -0.0222 8.6643
Ho 2.0460 -0.0030 2.9361
Ho -1.0251 1.7706 2.9361
Dy 1.0220 1.7696 5.8058
Pr 0.0020 3.5586 0.0086
```

No. 2
## BaTcIr (GGA-PBE)

Data for crystalline BaTcIr at its relaxed geometry.

Its space group is P4/nmm (129). Its formation energy is 10.2 kJ per mole of atoms.

Geometry as extended XYZ:
```
6
Lattice="-2.1199 -2.9552 2.8440 3.4325 -3.0307 -0.5906 3.5436 2.9096 5.6648" Properties=species:S:1:pos:R:3 pbc="T T T"
Tc 1.7718 1.4548 2.8324
Ba 4.7239 0.9542 4.5127
Tc 2.4281 -1.5381 3.9591
Ir 3.0085 -0.4543 1.7706
Ba -0.5240 -1.0375 2.2788
Ir 1.1914 0.3709 5.0209
```

No. 3
## NdTm2ReN4 (GGA-PBE)

Data for crystalline NdTm2ReN4 at its relaxed geometry.

Its space group is Cmcm (63). As for the energy relative to the elements, uncorrected: -1.080 eV/atom.

Geometry as extended XYZ:
```
16
Lattice="3.4436 0.0000 0.0000 -1.7218 5.8177 0.0000 0.0000 0.0000 11.4792" Properties=species:S:1:pos:R:3 pbc="T T T"
N 1.7218 2.7726 10.0495
N 1.7218 0.6812 2.8698
Nd 0.0000 1.3782 8.6094
Tm 0.0000 4.2924 6.1884
Nd 1.7218 4.4395 2.8698
N 0.0000 0.0000 0.0000
Tm 1.7218 1.5253 5.2907
Re 1.7218 4.1513 8.6094
Tm 1.7218 1.5253 0.4489
N 0.0000 0.0000 5.7396
Re 0.0000 1.6664 2.8698
Tm 0.0000 4.2924 11.0303
N 0.0000 3.0451 4.3100
N 1.7218 2.7726 7.1692
N 0.0000 3.0451 1.4296
N 0.0000 5.1364 8.6094
```

No. 4
## Ti2NbSnB (GGA-PBE)

Data for crystalline Ti2NbSnB at its relaxed geometry.

Its space group is P4/mmm (123). Its formation energy is 94.7 kJ per mole of atoms.

Geometry as extended XYZ:
```
5
Lattice="-4.6527 -1.2082 -0.7033 1.1987 -3.9973 -1.0628 -0.3546 -1.3440 4.6550" Properties=species:S:1:pos:R:3 pbc="T T T"
Ti -2.3263 -0.6041 -0.3516
Sn -1.9043 -3.2748 1.4445
B 0.5993 -1.9987 -0.5314
Ti -0.1773 -0.6720 2.3275
Nb 0.0000 0.0000 0.0000
```

No. 5
## LiNi3H (GGA-PBE)

Data for crystalline LiNi3H at its relaxed geometry.

Its space group is Pm-3m (221). As for the raw total energy: -4.556 eV/atom.

Geometry as extended XYZ:
```
5
Lattice="-0.1662 -3.3950 -1.1515 3.5513 -0.3136 0.4118 -0.4902 -1.1204 3.3740" Properties=species:S:1:pos:R:3 pbc="T T T"
Ni -0.2451 -0.5602 1.6870
Ni 1.7756 -0.1568 0.2059
Li 1.4474 -2.4145 1.3172
H 0.0000 0.0000 0.0000
Ni -0.0831 -1.6975 -0.5757
```

No. 6
## La2Nd3Ho6Sc (GGA-PBE)

Data for crystalline La2Nd3Ho6Sc at its relaxed geometry.

Its space group is C2/m (12). Its formation energy is 2.5 kJ per mole of atoms.

Geometry as extended XYZ:
```
12
Lattice="-1.9231 -5.6215 -1.7759 3.1054 3.6115 -3.9708 9.6496 -3.9280 5.5840" Properties=species:S:1:pos:R:3 pbc="T T T"
Nd 3.7402 -6.0460 0.6502
Ho 7.3095 -5.9860 0.2333
Nd 5.4160 -2.9690 -0.0813
Ho 7.5379 -3.4462 2.7727
Ho 3.2941 -2.4918 -2.9353
Nd 7.0918 0.1080 -0.8128
La 1.4269 0.5295 -3.2381
Sc 0.0000 0.0000 0.0000
Ho 8.9682 -2.9404 -0.4907
La -0.2445 -2.5395 -2.5085
Ho 3.5225 0.0479 -0.3959
Ho 1.8638 -2.9976 0.3281
```